# Al2VO4

A relaxed structure of Al2VO4 (GGA+U, Alexandria).

abc: 5.832 5.832 5.832
angles: 92.28 118.69 118.69
Positions (direct):
1 Al 0.750 0.375 0.125
2 Al 0.250 0.875 0.625
3 Al 0.250 0.375 0.625
4 Al 0.750 0.375 0.625
5 V 0.500 0.750 0.250
6 V 0.000 0.000 0.000
7 O 0.789 0.176 0.387
8 O 0.789 0.613 0.402
9 O 0.211 0.598 0.387
10 O 0.211 0.613 0.824
11 O 0.289 0.137 0.426
12 O 0.289 0.152 0.863
13 O 0.711 0.137 0.848
14 O 0.711 0.574 0.863

Results
DFT total energy = -7.431 eV per atom
total magnetization = 6.00 μB/cell
crystal system = tetragonal